No. 1
Material: Li2PrNdTe4
Method: DFT, PBE
State: optimized geometry

Energy relative to the elements, uncorrected ... -1.296 eV per atom
Space group ... P2/m
Calculated total energy ... -4.54 eV/atom

Geometry as POSCAR:
```
Li2PrNdTe4
1.0
7.554 0.000 0.000
0.000 4.479 0.000
-2.644 0.000 7.288
Li Pr Nd Te
2 1 1 4
direct
0.000 0.000 0.000
0.000 0.500 0.500
0.500 0.000 0.500
0.500 0.500 0.000
0.237 0.000 0.748
0.237 0.500 0.244
0.763 0.000 0.252
0.763 0.500 0.756
```

No. 2
Material: MgAlPO2
Method: DFT, PBE
State: optimized geometry

Energy relative to the elements, uncorrected ... -1.094 eV per atom
Space group ... P4/mmm
E above lowest polymorph ... 0.0 meV/atom
Calculated total energy ... -5.23 eV/atom

Geometry as POSCAR:
```
MgAlPO2
1.0
3.634 0.000 0.000
0.000 3.634 0.000
0.000 0.000 5.317
Mg Al P O
1 1 1 2
direct
0.000 0.000 0.000
0.500 0.500 0.500
0.500 0.500 0.000
0.000 0.500 0.500
0.500 0.000 0.500
```

No. 3
Material: NdSm6Cd
Method: DFT, PBE
State: optimized geometry

Space group ... P-1
E above lowest polymorph ... 68.2 meV/atom
Formation enthalpy at 0 K ... 0.0379 eV per atom
Calculated total energy ... -4.21 eV/atom

Geometry as POSCAR:
```
NdSm6Cd
1.0
6.431 0.000 0.000
-0.539 6.411 0.000
-0.550 -0.589 6.390
Nd Sm Cd
1 6 1
direct
0.000 0.000 0.000
0.052 0.542 0.260
0.260 0.051 0.543
0.459 0.740 0.948
0.541 0.260 0.052
0.740 0.949 0.457
0.948 0.458 0.740
0.500 0.500 0.500
```

No. 4
Material: AcCu2O3
Method: DFT, PBE
State: optimized geometry

Energy relative to the elements, uncorrected ... -1.600 eV per atom
Space group ... Pmmn
Calculated total energy ... -6.13 eV/atom

Geometry as POSCAR:
```
AcCu2O3
1.0
4.687 0.000 0.000
0.000 9.876 0.000
0.000 0.000 4.007
Ac Cu O
2 4 6
direct
0.250 0.250 0.067
0.750 0.750 0.933
0.250 0.585 0.391
0.250 0.915 0.391
0.750 0.085 0.609
0.750 0.415 0.609
0.250 0.089 0.572
0.250 0.411 0.572
0.250 0.750 0.150
0.750 0.250 0.850
0.750 0.589 0.428
0.750 0.911 0.428
```

No. 5
Material: Pu2CoAs4Rh3
Method: DFT, PBE
State: optimized geometry

Space group ... P-4m2
Formation enthalpy at 0 K ... -0.6315 eV per atom
Calculated total energy ... -8.27 eV/atom

Geometry as POSCAR:
```
Pu2CoAs4Rh3
1.0
4.250 0.000 0.000
0.000 4.250 0.000
0.000 0.000 9.891
Pu Co As Rh
2 1 4 3
direct
0.000 0.500 0.249
0.500 0.000 0.751
0.000 0.000 0.500
0.000 0.000 0.000
0.000 0.500 0.628
0.500 0.000 0.372
0.500 0.500 0.000
0.000 0.500 0.874
0.500 0.000 0.126
0.500 0.500 0.500
```

No. 6
Material: K3LaBr8
Method: DFT, PBE
State: optimized geometry

Energy relative to the elements, uncorrected ... -1.420 eV per atom
Space group ... I4/mmm
Calculated total energy ... -3.22 eV/atom

Geometry as POSCAR:
```
K3LaBr8
1.0
-3.731 3.731 8.092
3.731 -3.731 8.092
3.731 3.731 -8.092
K La Br
3 1 8
direct
0.000 0.000 0.000
0.250 0.750 0.500
0.750 0.250 0.500
0.500 0.500 0.000
0.151 0.151 0.533
0.151 0.619 0.000
0.381 0.381 0.533
0.381 0.849 0.000
0.619 0.151 0.000
0.619 0.619 0.467
0.849 0.381 0.000
0.849 0.849 0.467
```

No. 7
Material: Rb2H2Pd
Method: DFT, PBE
State: optimized geometry

Space group ... P2_1/c
Calculated total energy ... -2.99 eV/atom

Geometry as POSCAR:
```
Rb2H2Pd
1.0
8.327 0.000 0.000
0.000 8.481 0.000
-0.631 0.000 7.940
Rb H Pd
8 8 4
direct
0.034 0.242 0.001
0.034 0.258 0.501
0.408 0.626 0.257
0.408 0.874 0.757
0.592 0.126 0.243
0.592 0.374 0.743
0.966 0.742 0.499
0.966 0.758 0.999
0.218 0.522 0.974
0.218 0.978 0.474
0.263 0.526 0.556
0.263 0.974 0.056
0.737 0.026 0.944
0.737 0.474 0.444
0.782 0.022 0.526
0.782 0.478 0.026
0.239 0.524 0.766
0.239 0.976 0.266
0.761 0.024 0.734
0.761 0.476 0.234
```

No. 8
Material: RbCrPb3
Method: DFT, PBE
State: optimized geometry

Space group ... Pm-3m
E above lowest polymorph ... 1831.6 meV/atom
Formation enthalpy at 0 K ... 2.1015 eV per atom
Calculated total energy ... -2.24 eV/atom

Geometry as POSCAR:
```
RbCrPb3
1.0
5.979 0.000 0.000
0.000 5.979 0.000
0.000 0.000 5.979
Rb Cr Pb
1 1 3
direct
0.000 0.000 0.000
0.500 0.500 0.500
0.000 0.000 0.500
0.000 0.500 0.000
0.500 0.000 0.000
```

No. 9
Material: CsZnPdSe2
Method: DFT, PBE
State: optimized geometry

Energy relative to the elements, uncorrected ... -0.609 eV per atom
Space group ... Pccm
Calculated total energy ... -3.47 eV/atom

Geometry as POSCAR:
```
CsZnPdSe2
1.0
4.013 0.000 0.000
0.000 7.993 0.000
0.000 0.000 8.164
Cs Zn Pd Se
2 2 2 4
direct
0.000 0.000 0.250
0.000 0.000 0.750
0.000 0.500 0.000
0.000 0.500 0.500
0.500 0.500 0.250
0.500 0.500 0.750
0.498 0.290 0.000
0.498 0.710 0.500
0.502 0.290 0.500
0.502 0.710 0.000
```

No. 10
Material: U2CoSi3
Method: DFT, PBE
State: optimized geometry

Energy relative to the elements, uncorrected ... -0.411 eV per atom
Space group ... Fmmm
Calculated total energy ... -8.07 eV/atom

Geometry as POSCAR:
```
U2CoSi3
1.0
0.000 4.024 6.841
3.836 0.000 6.841
3.836 4.024 0.000
U Co Si
4 2 6
direct
0.245 0.755 0.755
0.250 0.250 0.250
0.750 0.750 0.750
0.755 0.245 0.245
0.162 0.162 0.838
0.838 0.838 0.162
0.165 0.665 0.335
0.329 0.329 0.671
0.335 0.835 0.165
0.665 0.165 0.835
0.671 0.671 0.329
0.835 0.335 0.665
```

No. 11
Material: Dy8Ge3HSe4
Method: DFT, PBE
State: optimized geometry

Space group ... R-3m
Calculated total energy ... -5.52 eV/atom

Geometry as POSCAR:
```
Dy8Ge3HSe4
1.0
4.068 2.349 6.703
-4.068 2.349 6.703
0.000 -4.697 6.703
Dy Ge H Se
8 3 1 4
direct
0.242 0.749 0.749
0.246 0.246 0.246
0.251 0.251 0.758
0.251 0.758 0.251
0.749 0.242 0.749
0.749 0.749 0.242
0.754 0.754 0.754
0.758 0.251 0.251
0.000 0.000 0.500
0.000 0.500 0.000
0.500 0.000 0.000
0.500 0.500 0.500
0.000 0.000 0.000
0.000 0.500 0.500
0.500 0.000 0.500
0.500 0.500 0.000
```

No. 12
Material: BaBe2Co
Method: DFT, PBE
State: optimized geometry

Space group ... C2/m
E above lowest polymorph ... 18.3 meV/atom
Formation enthalpy at 0 K ... 0.1466 eV per atom
Calculated total energy ... -3.97 eV/atom

Geometry as POSCAR:
```
BaBe2Co
1.0
3.356 -1.923 0.000
3.356 1.923 0.000
-1.502 0.000 5.638
Ba Be Co
1 2 1
direct
0.000 0.000 0.000
0.177 0.177 0.533
0.823 0.823 0.467
0.500 0.500 0.500
```